1.
# MgInSi

A crystal of MgInSi relaxed with PBEsol (meta-GGA SCAN, the Alexandria database).

```
MgInSi
1.0
0.0000 3.2687 3.2687
3.2687 0.0000 3.2687
3.2687 3.2687 0.0000
Mg In Si
1 1 1
direct
0.0000 0.0000 0.0000 Mg
0.7500 0.7500 0.7500 In
0.5000 0.5000 0.5000 Si
```

Output
V = 23.282 A^3/atom
formation energy without anion corrections = 0.328 eV/atom
size of the total moment = 0.0 μB/f.u.
crystal system = cubic

***

2.
# Si2AuSe

A crystal of Si2AuSe relaxed with PBEsol (meta-GGA SCAN, the Alexandria database).

```
Si2AuSe
1.0
-1.6785 1.9803 5.4981
1.6785 -1.9803 5.4981
1.6785 1.9803 -5.4981
Si Au Se
2 1 1
direct
0.0000 0.0000 0.0000 Si
0.8085 0.3085 0.5000 Si
0.3478 0.8478 0.5000 Au
0.6387 0.6387 0.0000 Se
```

Output
V = 18.275 A^3/atom
formation energy without anion corrections = 0.309 eV/atom
size of the total moment = 0.0 μB/f.u.
crystal system = orthorhombic

***

3.
# CsRb2Hf

A crystal of CsRb2Hf relaxed with PBEsol (meta-GGA SCAN, the Alexandria database).

```
CsRb2Hf
1.0
0.0000 4.7531 4.7531
4.7531 0.0000 4.7531
4.7531 4.7531 0.0000
Cs Rb Hf
1 2 1
direct
0.0000 0.0000 0.0000 Cs
0.2500 0.2500 0.2500 Rb
0.7500 0.7500 0.7500 Rb
0.5000 0.5000 0.5000 Hf
```

Output
V = 53.692 A^3/atom
E_form = 1.1803 eV/atom
size of the total moment = 2.7 μB/f.u.
crystal system = cubic

***

4.
# LiZrAg2Te

A crystal of LiZrAg2Te relaxed with PBEsol (meta-GGA SCAN, the Alexandria database).

```
LiZrAg2Te
1.0
5.1370 0.0000 0.0000
0.0000 5.1370 0.0000
0.0000 0.0000 5.3207
Li Zr Ag Te
1 1 2 1
direct
0.0000 0.0000 0.0000 Li
0.5000 0.5000 0.0000 Zr
0.0000 0.5000 0.5000 Ag
0.5000 0.0000 0.5000 Ag
0.5000 0.5000 0.5000 Te
```

Output
V = 28.082 A^3/atom
formation energy without anion corrections = 0.543 eV/atom
size of the total moment = 0.0 μB/f.u.
crystal system = tetragonal